Here is a geometry-optimized LiDyAu4 structure from Alexandria. Energies are from PBE.

Cell lengths 4.290, 4.290, 7.169 Å; angles 90.00, 90.00, 99.98 degrees
Positions (direct):
1 Li 0.000 0.000 0.000
2 Dy 0.500 0.500 0.500
3 Au 0.000 0.500 0.216
4 Au 0.000 0.500 0.784
5 Au 0.500 0.000 0.216
6 Au 0.500 0.000 0.784

Results
Excess energy over the best structure of this formula in the dataset (meV per atom): 117.2
N(E_F) (states/eV/atom): 0.359


Here is a geometry-optimized Li4Dy3Au4 structure from Alexandria. Energies are from PBE.

Cell lengths 8.406, 8.406, 8.406 Å; angles 152.34, 124.68, 62.96 degrees
Positions (direct):
1 Li 0.018 0.823 0.195
2 Li 0.371 0.177 0.195
3 Li 0.629 0.823 0.805
4 Li 0.982 0.177 0.805
5 Dy 0.000 0.500 0.500
6 Dy 0.380 0.380 0.000
7 Dy 0.620 0.620 0.000
8 Au 0.222 0.722 0.500
9 Au 0.302 0.000 0.302
10 Au 0.698 0.000 0.698
11 Au 0.778 0.278 0.500

Results
N(E_F) (states/eV/atom): 0.634


Here is a geometry-optimized LiDy2Au3 structure from Alexandria. Energies are from PBE.

Cell lengths 4.890, 3.602, 7.784 Å; angles 90.00, 107.97, 90.00 degrees
Positions (direct):
1 Li 0.000 0.000 0.000
2 Dy 0.340 0.000 0.680
3 Dy 0.660 0.000 0.320
4 Au 0.172 0.500 0.345
5 Au 0.500 0.500 0.000
6 Au 0.828 0.500 0.655

Results
Excess energy over the best structure of this formula in the dataset (meV per atom): 42.8
N(E_F) (states/eV/atom): 0.691


Here is a geometry-optimized Li7Dy3Au4 structure from Alexandria. Energies are from PBE.

Cell lengths 8.093, 8.093, 10.420 Å; angles 123.34, 123.34, 29.76 degrees
Positions (direct):
1 Li 0.000 0.000 0.000
2 Li 0.168 0.168 0.934
3 Li 0.326 0.326 0.496
4 Li 0.479 0.479 0.181
5 Li 0.521 0.521 0.819
6 Li 0.674 0.674 0.504
7 Li 0.832 0.832 0.066
8 Dy 0.000 0.000 0.500
9 Dy 0.297 0.297 0.773
10 Dy 0.703 0.703 0.227
11 Au 0.104 0.104 0.315
12 Au 0.346 0.346 0.255
13 Au 0.654 0.654 0.745
14 Au 0.896 0.896 0.685

Results
N(E_F) (states/eV/atom): 0.474


DFT formation energy: -0.47 -0.60 -0.72 -0.47 (eV per atom)
V: 21.65 20.45 21.74 19.90 (Å³ per atom)
M_tot: 0.000 0.000 0.000 0.000 (μB/f.u.)